No. 1
Below is crystalline BeCo2HIr at its relaxed geometry, with properties calculated at the PBE-GGA level.

Structure (POSCAR):
```
BeCo2HIr
1.0
-2.778 -0.168 -2.026
-1.670 -1.767 2.436
-1.303 3.314 1.511
Be Ir Co H
1 1 2 1
direct
0.000 0.000 0.500
0.500 0.500 0.500
0.000 0.500 0.000
0.500 0.000 0.000
0.000 0.000 0.000
```

For the energy relative to the lowest polymorph listed for this composition, the calculation gives 0 meV per atom.



No. 2
Below is crystalline K2BeCoH at its relaxed geometry, with properties calculated at the PBE-GGA level.

Structure (POSCAR):
```
K2BeCoH
1.0
-4.758 -0.809 3.542
1.123 -2.863 0.855
2.961 2.520 4.552
Be K Co H
1 2 1 1
direct
0.000 0.500 0.000
0.000 0.000 0.500
0.500 0.000 0.000
0.500 0.500 0.500
0.000 0.000 0.000
```

Its calculated total energy is -2.305 eV/atom.



No. 3
Below is crystalline LaBeCo2H8 at its relaxed geometry, with properties calculated at the PBE-GGA level.

Structure (POSCAR):
```
LaBeCo2H8
1.0
4.296 0.000 0.000
2.148 3.720 0.000
2.148 1.240 5.578
La Be Co H
1 1 2 8
direct
0.500 0.500 0.500
0.000 0.000 0.000
0.304 0.304 0.087
0.696 0.696 0.913
0.206 0.206 0.381
0.640 0.321 0.134
0.794 0.794 0.619
0.906 0.640 0.134
0.094 0.360 0.866
0.321 0.906 0.134
0.679 0.094 0.866
0.360 0.679 0.866
```

Its calculated total energy is -4.354 eV/atom.



No. 4
Below is crystalline MgBeCoH2 at its relaxed geometry, with properties calculated at the PBE-GGA level.

Structure (POSCAR):
```
MgBeCoH2
1.0
3.359 0.000 0.000
0.000 5.104 0.000
0.000 0.000 3.359
Be Mg Co H
1 1 1 2
direct
0.500 0.500 0.500
0.000 0.500 0.000
0.000 0.000 0.000
0.000 0.000 0.500
0.500 0.000 0.000
```

Its calculated total energy is -3.038 eV/atom.



No. 5
Below is crystalline MnBeCo2H at its relaxed geometry, with properties calculated at the PBE-GGA level.

Structure (POSCAR):
```
MnBeCo2H
1.0
-2.330 -2.558 -0.783
2.655 -2.340 -0.254
-0.334 -0.754 3.455
Be Mn Co H
1 1 2 1
direct
0.500 0.500 0.500
0.000 0.000 0.500
0.000 0.500 0.000
0.500 0.000 0.000
0.000 0.000 0.000
```

For the energy relative to the lowest polymorph listed for this composition, the calculation gives 0 meV per atom.



No. 6
Below is crystalline MnBeCo2H at its relaxed geometry, with properties calculated at the PBE-GGA level.

Structure (POSCAR):
```
MnBeCo2H
1.0
3.647 0.000 0.000
0.000 3.647 0.000
0.000 0.000 3.255
Be Mn Co H
1 1 2 1
direct
0.000 0.000 0.500
0.500 0.500 0.500
0.000 0.500 0.000
0.500 0.000 0.000
0.000 0.000 0.000
```

For the energy relative to the lowest polymorph listed for this composition, the calculation gives 22 meV per atom.



No. 7
Below is crystalline NaBeCoH6 at its relaxed geometry, with properties calculated at the PBE-GGA level.

Structure (POSCAR):
```
NaBeCoH6
1.0
4.118 0.000 0.000
2.059 3.566 0.000
0.000 -0.001 4.896
Na Be Co H
1 1 1 6
direct
0.000 0.000 0.000
0.667 0.667 0.500
0.333 0.333 0.500
0.018 0.366 0.316
0.366 0.018 0.684
0.616 0.366 0.685
0.018 0.616 0.684
0.366 0.616 0.315
0.616 0.018 0.315
```

Its calculated total energy is -3.709 eV/atom.



No. 8
Below is crystalline BeNb2CoH at its relaxed geometry, with properties calculated at the PBE-GGA level.

Structure (POSCAR):
```
BeNb2CoH
1.0
4.048 0.000 0.000
0.000 4.048 0.000
0.000 0.000 3.593
Be Nb Co H
1 2 1 1
direct
0.500 0.500 0.500
0.000 0.500 0.000
0.500 0.000 0.000
0.000 0.000 0.500
0.000 0.000 0.000
```

For the energy relative to the lowest polymorph listed for this composition, the calculation gives 0 meV per atom.



No. 9
Below is crystalline BeNb2CoH at its relaxed geometry, with properties calculated at the PBE-GGA level.

Structure (POSCAR):
```
BeNb2CoH
1.0
4.042 0.000 0.000
0.000 4.042 0.000
0.000 0.000 3.552
Be Nb Co H
1 2 1 1
direct
0.000 0.000 0.500
0.000 0.500 0.000
0.500 0.000 0.000
0.500 0.500 0.500
0.000 0.000 0.000
```

For the energy relative to the lowest polymorph listed for this composition, the calculation gives 56 meV per atom.



No. 10
Below is crystalline NdBeCo2H8 at its relaxed geometry, with properties calculated at the PBE-GGA level.

Structure (POSCAR):
```
NdBeCo2H8
1.0
4.269 0.000 0.000
2.134 3.697 0.000
2.134 1.232 5.474
Nd Be Co H
1 1 2 8
direct
0.500 0.500 0.500
0.000 0.000 0.000
0.303 0.303 0.092
0.697 0.697 0.908
0.203 0.203 0.390
0.640 0.320 0.138
0.797 0.797 0.610
0.903 0.640 0.138
0.097 0.360 0.862
0.320 0.903 0.138
0.680 0.097 0.862
0.360 0.680 0.862
```

Its calculated total energy is -4.317 eV/atom.



No. 11
Below is crystalline BeCoNi2H at its relaxed geometry, with properties calculated at the PBE-GGA level.

Structure (POSCAR):
```
BeCoNi2H
1.0
3.478 0.000 0.000
0.000 3.478 0.000
0.000 0.000 3.559
Ni Co H Be
2 1 1 1
direct
0.000 0.500 0.000
0.500 0.000 0.000
0.000 0.000 0.500
0.000 0.000 0.000
0.500 0.500 0.500
```

For the energy relative to the lowest polymorph listed for this composition, the calculation gives 0 meV per atom.



No. 12
Below is crystalline BeCoNi2H at its relaxed geometry, with properties calculated at the PBE-GGA level.

Structure (POSCAR):
```
BeCoNi2H
1.0
3.445 0.000 0.000
0.000 3.445 0.000
0.000 0.000 3.628
Ni Co H Be
2 1 1 1
direct
0.000 0.500 0.000
0.500 0.000 0.000
0.500 0.500 0.500
0.000 0.000 0.000
0.000 0.000 0.500
```

For the energy relative to the lowest polymorph listed for this composition, the calculation gives 84 meV per atom.



No. 13
Below is crystalline NpBe2CoH8 at its relaxed geometry, with properties calculated at the PBE-GGA level.

Structure (POSCAR):
```
NpBe2CoH8
1.0
3.975 0.053 0.038
-0.066 4.023 1.577
0.138 2.280 6.013
Np Be Co H
1 2 1 8
direct
0.000 0.000 0.500
0.492 0.255 0.746
0.508 0.745 0.254
0.000 0.000 0.000
0.119 0.685 0.314
0.755 0.633 0.097
0.754 0.172 0.098
0.881 0.315 0.686
0.245 0.367 0.903
0.246 0.828 0.902
0.500 0.751 0.500
0.500 0.249 0.500
```

Its calculated total energy is -4.624 eV/atom.



No. 14
Below is crystalline Be2CoPH at its relaxed geometry, with properties calculated at the PBE-GGA level.

Structure (POSCAR):
```
Be2CoPH
1.0
-1.523 3.115 2.215
-1.871 0.742 -2.329
-2.891 -2.499 1.527
P Co H Be
1 1 1 2
direct
0.500 0.500 0.500
0.000 0.000 0.000
0.000 0.500 0.000
0.000 0.000 0.500
0.500 0.000 0.000
```

Its calculated total energy is -4.021 eV/atom.



No. 15
Below is crystalline Pa2BeCo12H3 at its relaxed geometry, with properties calculated at the PBE-GGA level.

Structure (POSCAR):
```
Pa2BeCo12H3
1.0
-3.803 -5.312 -0.187
1.252 -5.086 3.909
-3.985 -1.376 4.994
Pa Be Co H
2 1 12 3
direct
0.603 0.603 0.603
0.397 0.397 0.397
0.000 0.000 0.000
0.273 0.273 0.895
0.857 0.857 0.441
0.441 0.857 0.857
0.895 0.273 0.273
0.857 0.441 0.857
0.273 0.895 0.273
0.727 0.727 0.105
0.143 0.143 0.559
0.559 0.143 0.143
0.105 0.727 0.727
0.143 0.559 0.143
0.727 0.105 0.727
0.500 0.000 0.000
0.000 0.500 0.000
0.000 0.000 0.500
```

Its calculated total energy is -6.533 eV/atom.



No. 16
Below is crystalline PaBeCo2H8 at its relaxed geometry, with properties calculated at the PBE-GGA level.

Structure (POSCAR):
```
PaBeCo2H8
1.0
4.521 0.000 0.000
-2.261 3.916 0.000
0.000 0.000 5.816
Pa Be Co H
1 1 2 8
direct
0.000 0.000 0.500
0.000 0.000 0.000
0.333 0.667 0.660
0.667 0.333 0.340
0.156 0.313 0.825
0.156 0.844 0.825
0.687 0.844 0.825
0.313 0.156 0.175
0.667 0.333 0.610
0.333 0.667 0.390
0.844 0.687 0.175
0.844 0.156 0.175
```

Its calculated total energy is -4.512 eV/atom.



No. 17
Below is crystalline PaBe2CoH8 at its relaxed geometry, with properties calculated at the PBE-GGA level.

Structure (POSCAR):
```
PaBe2CoH8
1.0
4.379 0.000 0.000
-2.190 3.792 0.000
0.000 0.000 6.208
Pa Be Co H
1 2 1 8
direct
0.000 0.000 0.500
0.333 0.667 0.767
0.667 0.333 0.233
0.000 0.000 0.000
0.151 0.302 0.813
0.151 0.849 0.813
0.698 0.849 0.813
0.302 0.151 0.187
0.667 0.333 0.481
0.333 0.667 0.519
0.849 0.698 0.187
0.849 0.151 0.187
```

Its calculated total energy is -4.261 eV/atom.



No. 18
Below is crystalline PaBeCo2H6 at its relaxed geometry, with properties calculated at the PBE-GGA level.

Structure (POSCAR):
```
PaBeCo2H6
1.0
4.181 0.000 0.000
2.091 3.621 0.000
2.091 1.207 4.746
Pa Be Co H
1 1 2 6
direct
0.000 0.000 0.000
0.500 0.500 0.500
0.794 0.794 0.619
0.206 0.206 0.381
0.099 0.555 0.790
0.555 0.099 0.790
0.445 0.445 0.210
0.901 0.445 0.210
0.445 0.901 0.210
0.555 0.555 0.790
```

Its calculated total energy is -4.983 eV/atom.



No. 19
Below is crystalline PmBeCo2H8 at its relaxed geometry, with properties calculated at the PBE-GGA level.

Structure (POSCAR):
```
PmBeCo2H8
1.0
4.260 0.000 0.000
2.130 3.689 0.000
2.130 1.230 5.426
Pm Be Co H
1 1 2 8
direct
0.500 0.500 0.500
0.000 0.000 0.000
0.302 0.302 0.094
0.698 0.698 0.906
0.202 0.202 0.394
0.640 0.319 0.139
0.798 0.798 0.606
0.902 0.640 0.139
0.098 0.360 0.861
0.319 0.902 0.139
0.681 0.098 0.861
0.360 0.681 0.861
```

Its calculated total energy is -4.315 eV/atom.



No. 20
Below is crystalline PrBeCo2H8 at its relaxed geometry, with properties calculated at the PBE-GGA level.

Structure (POSCAR):
```
PrBeCo2H8
1.0
-0.408 -1.506 -3.984
-2.658 -3.257 -0.794
-5.125 1.989 -2.525
Pr Be Co H
1 1 2 8
direct
0.500 0.500 0.500
0.000 0.000 0.000
0.303 0.303 0.091
0.697 0.697 0.909
0.205 0.205 0.386
0.640 0.320 0.136
0.795 0.795 0.614
0.904 0.640 0.136
0.096 0.360 0.864
0.320 0.904 0.136
0.680 0.096 0.864
0.360 0.680 0.864
```

Its calculated total energy is -4.318 eV/atom.